A geometry-optimized NaPaBN3 structure, computed with PBE.

The space group is P6_3/mmc (No. 194) and the conventional cell measures 5.4333, 5.4333 and 6.4332 Å, with angles of 90.00, 90.00 and 120.00 degrees. The distinct sites, in fractional coordinates, are Na at (0.3333, 0.6667, 0.2500), Pa at (0.0000, 0.0000, 0.0000), B at (0.3333, 0.6667, 0.7500) and N at (0.1767, 0.3533, 0.7500).

The energy relative to the elements, uncorrected is -1.002 eV per atom. The magnetization is 0.000 μB per atom.

A geometry-optimized CaHgAu3 structure, computed with PBE.

The space group is Pm-3m (No. 221) and the conventional cell measures 5.508, 5.508 and 5.508 Å, with angles of 90.00, 90.00 and 90.00 degrees. The distinct sites, in fractional coordinates, are Ca at (0.000, 0.000, 0.000), Hg at (0.500, 0.500, 0.500) and Au at (0.000, 0.000, 0.500).

For the energy of formation, the calculation gives 0.445 eV/atom. The energy relative to the lowest polymorph listed for this composition is 883 meV per atom. The magnetization is 0.000 μB per atom.